{"formula": "HgBRuO6", "functional": "GGA-PBE", "state": "relaxed", "n_ef_per_ev_atom": 0.13, "mass_density_g_cm3": 6.0, "raw_formation_energy_ev_per_atom": -0.9225, "cell": [[-3.954, -2.376, 2.655], [-0.337, -1.921, 4.953], [-0.820, 4.885, 2.297]], "species": ["Hg", "O", "O", "B", "O", "O", "O", "O", "Ru"], "frac_coords": [[0.021, 0.021, 0.000], [0.869, 0.506, 0.349], [0.515, 0.160, 0.239], [0.602, 0.602, 0.500], [0.732, 0.280, 0.648], [0.280, 0.733, 0.352], [0.160, 0.515, 0.761], [0.506, 0.869, 0.651], [0.315, 0.315, 0.500]]}